# Cs3CaV2F9 PBE with a Hubbard U optimized geometry
data_Cs3CaV2F9
_chemical_formula_sum 'Cs3 Ca1 V2 F9'
_space_group_name_H-M_alt 'P -3 m 1'
_space_group_IT_number 164
_space_group_name_Hall '-P 3 2"'
_cell_length_a 6.2565
_cell_length_b 6.2565
_cell_length_c 7.6724
_cell_angle_alpha 90.00
_cell_angle_beta 90.00
_cell_angle_gamma 120.00
loop_
_atom_site_label
_atom_site_type_symbol
_atom_site_fract_x
_atom_site_fract_y
_atom_site_fract_z
Cs1 Cs 0.0000 0.0000 0.0000
Cs2 Cs 0.3333 0.6667 0.6705
Ca1 Ca 0.0000 0.0000 0.5000
V1 V 0.3333 0.6667 0.1615
F1 F 0.0000 0.5000 0.0000
F2 F 0.1723 0.3446 0.3257
# - Crystal system: trigonal
# - Uncorrected energy: -0.19855 hartree per atom